The following is a DFT calculation (GGA-PBE) of a relaxed structure of CsCaTlSiSe.

The space group is Imm2 (No. 44) and the conventional cell measures 4.6175, 5.1144 and 15.3353 Å, with angles of 90.00, 90.00 and 90.00 degrees. The asymmetric unit holds Cs at (0.0000, 0.0000, 0.0000), Ca at (0.0000, 0.5000, 0.7624), Tl at (0.0000, 0.5000, 0.2411), Si at (0.0000, 0.0000, 0.6543) and Se at (0.0000, 0.0000, 0.3705).

The value obtained for the energy above the most stable polymorph in this dataset is 0.119 eV/atom. For the raw formation energy, the calculation gives -12.54 kcal/mol of atoms.



The following is a DFT calculation (GGA-PBE) of a relaxed structure of Rb2Mn3S6.

The space group is C2/m (No. 12) and the conventional cell measures 5.9723, 10.3416 and 7.9482 Å, with angles of 90.00, 104.49 and 90.00 degrees. The asymmetric unit holds Rb at (0.0000, 0.1667, 0.0000), Mn at (0.0000, 0.0000, 0.5000), Mn at (0.0000, 0.3323, 0.5000), S at (0.2188, 0.5000, 0.6646) and S at (0.2227, 0.1653, 0.6644).

For the raw formation energy, the calculation gives -17.11 kcal/mol of atoms.



Number 1: total energy -3.3698 eV per atom. Number 2: total energy -5.6702 eV per atom.